[1]
The following is a PBE calculation of a geometry-optimized Rb2TlCdIn6 structure, from Alexandria via LeMat-Bulk.

Geometry as POSCAR:
```
Rb2TlCdIn6
1.0
3.424 1.977 16.940
-3.424 1.977 16.940
0.000 -3.954 16.940
Rb Tl Cd In
4 2 2 12
Direct
0.148 0.148 0.148
0.294 0.294 0.294
0.706 0.706 0.706
0.852 0.852 0.852
0.366 0.366 0.366
0.634 0.634 0.634
0.000 0.000 0.000
0.500 0.500 0.500
0.098 0.628 0.628
0.224 0.774 0.774
0.226 0.226 0.776
0.226 0.776 0.226
0.372 0.372 0.902
0.372 0.902 0.372
0.628 0.098 0.628
0.628 0.628 0.098
0.774 0.224 0.774
0.774 0.774 0.224
0.776 0.226 0.226
0.902 0.372 0.372
```

Properties
Its space-group type is R-3m. The volume is 688 Å³ per cell. As for the energy: -2.179 eV per atom. The formation energy from the elements comes out at -0.01 eV per atom.


[2]
The following is a PBE calculation of a geometry-optimized Pr6AsPd2I3 structure, from Alexandria via LeMat-Bulk.

Geometry as POSCAR:
```
Pr6AsPd2I3
1.0
3.780 -6.528 0.000
3.780 6.528 0.000
-2.511 0.000 7.836
Pr As Pd I
6 1 2 3
Direct
0.092 0.433 0.803
0.223 0.223 0.195
0.433 0.092 0.803
0.567 0.908 0.197
0.777 0.777 0.805
0.908 0.567 0.197
0.500 0.500 0.000
0.167 0.833 0.000
0.833 0.167 0.000
0.000 0.000 0.500
0.338 0.662 0.500
0.662 0.338 0.500
```

Properties
Its space-group type is C2/m. The energy relative to the elements, uncorrected comes out at -971 meV per atom. The volume is 387 Å³ per cell. As for the energy: -5.001 eV per atom.


[3]
The following is a PBE calculation of a geometry-optimized LaTaCo3 structure, from Alexandria via LeMat-Bulk.

Geometry as POSCAR:
```
LaTaCo3
1.0
4.587 0.000 0.000
0.000 4.587 0.000
0.000 0.000 4.587
La Ta Co
1 1 3
Direct
0.000 0.000 0.000
0.500 0.500 0.500
0.000 0.500 0.500
0.500 0.000 0.500
0.500 0.500 0.000
```

Properties
Its space-group type is Pm-3m. The volume is 96 Å³ per cell. As for the energy: -7.065 eV per atom. The formation energy from the elements comes out at 0.55 eV per atom. The calculation puts the energy above the lowest structure with this stoichiometry at 0.00 eV per formula unit.


[4]
The following is a PBE calculation of a geometry-optimized YNi2Pt2 structure, from Alexandria via LeMat-Bulk.

Geometry as POSCAR:
```
YNi2Pt2
1.0
-1.875 1.875 6.092
1.875 -1.875 6.092
1.875 1.875 -6.092
Y Ni Pt
1 2 2
Direct
0.000 0.000 0.000
0.250 0.750 0.500
0.750 0.250 0.500
0.392 0.392 0.000
0.608 0.608 0.000
```

Properties
Its space-group type is I4/mmm. The volume is 86 Å³ per cell. As for the energy: -6.505 eV per atom. The formation energy from the elements comes out at -0.48 eV per atom. The calculation puts the energy above the lowest structure with this stoichiometry at 0.05 eV per formula unit.


[5]
The following is a PBE calculation of a geometry-optimized Nd2Dy2Y2In structure, from Alexandria via LeMat-Bulk.

Geometry as POSCAR:
```
Nd2Dy2Y2In
1.0
2.931 -2.927 0.000
2.931 2.927 0.000
-2.921 0.000 12.868
Nd Dy Y In
2 2 2 1
Direct
0.209 0.209 0.418
0.791 0.791 0.582
0.065 0.065 0.127
0.935 0.935 0.873
0.364 0.364 0.729
0.636 0.636 0.271
0.500 0.500 0.000
```

Properties
Its space-group type is C2/m. The volume is 221 Å³ per cell. As for the energy: -4.948 eV per atom. The formation energy from the elements comes out at -0.03 eV per atom.


[6]
The following is a PBE calculation of a geometry-optimized BeAgCl2 structure, from Alexandria via LeMat-Bulk.

Geometry as POSCAR:
```
BeAgCl2
1.0
-1.548 3.666 4.365
1.548 -3.666 4.365
1.548 3.666 -4.365
Be Ag Cl
1 1 2
Direct
0.000 0.000 0.000
0.776 0.276 0.500
0.147 0.647 0.500
0.546 0.546 0.000
```

Properties
Its space-group type is Imm2. The energy relative to the elements, uncorrected comes out at -348 meV per atom. The volume is 99 Å³ per cell. As for the energy: -2.915 eV per atom. The calculation puts the energy above the lowest structure with this stoichiometry at 1.18 eV per formula unit.


[7]
The following is a PBE calculation of a geometry-optimized CrCBr2 structure, from Alexandria via LeMat-Bulk.

Geometry as POSCAR:
```
CrCBr2
1.0
1.967 1.135 7.774
-1.967 1.135 7.774
0.000 -2.271 7.774
Cr C Br
1 1 2
Direct
0.000 0.000 0.000
0.500 0.500 0.500
0.396 0.396 0.396
0.604 0.604 0.604
```

Properties
Its space-group type is R-3m. The energy relative to the elements, uncorrected comes out at 1308 meV per atom. The volume is 104 Å³ per cell. As for the energy: -4.240 eV per atom. The calculation puts the energy above the lowest structure with this stoichiometry at 0.00 eV per formula unit.


[8]
The following is a PBE calculation of a geometry-optimized CrTc2Br structure, from Alexandria via LeMat-Bulk.

Geometry as POSCAR:
```
CrTc2Br
1.0
-1.480 2.212 4.574
1.480 -2.212 4.574
1.480 2.212 -4.574
Cr Tc Br
1 2 1
Direct
0.000 0.000 0.000
0.268 0.768 0.500
0.732 0.232 0.500
0.500 0.500 0.000
```

Properties
Its space-group type is Immm. The energy relative to the elements, uncorrected comes out at 773 meV per atom. The volume is 60 Å³ per cell. As for the energy: -7.234 eV per atom. The calculation puts the energy above the lowest structure with this stoichiometry at 1.22 eV per formula unit.